Entry 1:
Density functional theory data (PBE) for crystalline Sb2TeBr at its relaxed geometry.

Excess energy over the best structure of this formula in the dataset   128.7 meV per atom
ΔE_f (raw)   33 meV/atom
DFT total energy   -0.11878 hartree per atom

Cell lengths 8.545, 7.022, 3.232 Å; angles 62.53, 112.33, 134.10 degrees
Element x y z (fractional)
Sb (0.000, 0.000, 0.000)
Sb (0.500, 0.000, 0.500)
Br (0.500, 0.500, 0.000)
Te (0.000, 0.500, 0.500)

=====

Entry 2:
Density functional theory data (PBE) for crystalline Sb2TeBr at its relaxed geometry.

Excess energy over the best structure of this formula in the dataset   62.8 meV per atom
ΔE_f (raw)   -33 meV/atom
DFT total energy   -0.12120 hartree per atom

Cell lengths 5.498, 5.498, 7.731 Å; angles 62.80, 62.80, 43.47 degrees
Element x y z (fractional)
Sb (0.972, 0.972, 0.917)
Sb (0.528, 0.528, 0.583)
Te (0.750, 0.750, 0.750)
Br (0.250, 0.250, 0.250)

=====

Entry 3:
Density functional theory data (PBE) for crystalline Sb2TeBr at its relaxed geometry.

Excess energy over the best structure of this formula in the dataset   257.0 meV per atom
ΔE_f (raw)   161 meV/atom
DFT total energy   -0.11406 hartree per atom

Cell lengths 6.110, 6.110, 6.110 Å; angles 143.87, 116.51, 75.28 degrees
Element x y z (fractional)
Sb (0.509, 0.509, 0.000)
Sb (0.991, 0.991, 0.000)
Br (0.250, 0.750, 0.500)
Te (0.750, 0.250, 0.500)

=====

Entry 4:
Density functional theory data (PBE) for crystalline Sb2TeBr at its relaxed geometry.

Excess energy over the best structure of this formula in the dataset   99.8 meV per atom
ΔE_f (raw)   4 meV/atom
DFT total energy   -0.11984 hartree per atom

Cell lengths 4.732, 3.230, 8.662 Å; angles 111.92, 90.00, 90.00 degrees
Element x y z (fractional)
Sb (0.000, 0.993, 0.994)
Sb (0.000, 0.507, 0.506)
Te (0.500, 0.250, 0.250)
Br (0.500, 0.750, 0.750)

=====

Entry 5:
Density functional theory data (PBE) for crystalline Sb2TeBr at its relaxed geometry.

Excess energy over the best structure of this formula in the dataset   4.4 meV per atom
ΔE_f (raw)   -91 meV/atom
DFT total energy   -0.12334 hartree per atom

Cell lengths 4.174, 5.904, 7.199 Å; angles 52.51, 90.00, 90.00 degrees
Element x y z (fractional)
Te (0.000, 0.476, 0.421)
Br (0.500, 0.739, 0.809)
Sb (0.500, 0.234, 0.226)
Sb (0.000, 0.050, 0.045)

=====

Entry 6:
Density functional theory data (PBE) for crystalline Sb2TeBr at its relaxed geometry.

Excess energy over the best structure of this formula in the dataset   0.0 meV per atom
ΔE_f (raw)   -96 meV/atom
DFT total energy   -0.12350 hartree per atom

Cell lengths 7.720, 7.720, 4.885 Å; angles 76.82, 76.82, 30.78 degrees
Element x y z (fractional)
Sb (0.677, 0.677, 0.714)
Sb (0.027, 0.027, 0.993)
Br (0.276, 0.276, 0.305)
Te (0.519, 0.519, 0.488)

=====

Entry 7:
Density functional theory data (PBE) for crystalline SbTe3Br at its relaxed geometry.

Excess energy over the best structure of this formula in the dataset   956.4 meV per atom
ΔE_f (raw)   830 meV/atom
DFT total energy   -0.08137 hartree per atom

Cell lengths 5.548, 5.548, 5.548 Å; angles 90.00, 90.00, 90.00 degrees
Element x y z (fractional)
Sb (0.500, 0.500, 0.500)
Br (0.000, 0.000, 0.000)
Te (0.000, 0.000, 0.500)
Te (0.000, 0.500, 0.000)
Te (0.500, 0.000, 0.000)

=====

Entry 8:
Density functional theory data (PBE) for crystalline Sb2TeBr at its relaxed geometry.

Excess energy over the best structure of this formula in the dataset   139.5 meV per atom
ΔE_f (raw)   44 meV/atom
DFT total energy   -0.11838 hartree per atom

Cell lengths 4.005, 3.980, 7.675 Å; angles 90.00, 90.00, 90.00 degrees
Element x y z (fractional)
Sb (0.000, 0.000, 0.043)
Sb (0.500, 0.500, 0.252)
Te (0.000, 0.000, 0.433)
Br (0.500, 0.500, 0.771)

=====

Entry 9:
Density functional theory data (PBE) for crystalline Sb3TeBr7 at its relaxed geometry.

ΔE_f (raw)   -527 meV/atom
DFT total energy   -0.11029 hartree per atom

Cell lengths 8.361, 8.430, 8.185 Å; angles 75.36, 59.28, 60.27 degrees
Element x y z (fractional)
Br (0.862, 0.898, 0.377)
Br (0.371, 0.911, 0.347)
Br (0.842, 0.440, 0.378)
Br (0.289, 0.595, 0.827)
Br (0.801, 0.095, 0.836)
Br (0.340, 0.440, 0.378)
Br (0.268, 0.095, 0.836)
Sb (0.584, 0.739, 0.600)
Sb (0.062, 0.251, 0.624)
Sb (0.077, 0.739, 0.600)
Te (0.778, 0.580, 0.865)

=====

Entry 10:
Density functional theory data (PBE) for crystalline SbTeBr4 at its relaxed geometry.

ΔE_f (raw)   695 meV/atom
DFT total energy   -0.05994 hartree per atom

Cell lengths 6.196, 6.196, 6.196 Å; angles 60.00, 60.00, 60.00 degrees
Element x y z (fractional)
Br (0.375, 0.375, 0.875)
Br (0.375, 0.375, 0.375)
Br (0.375, 0.875, 0.375)
Br (0.875, 0.375, 0.375)
Te (0.000, 0.000, 0.000)
Sb (0.750, 0.750, 0.750)

=====

Entry 11:
Density functional theory data (PBE) for crystalline SbTe3Br at its relaxed geometry.

Excess energy over the best structure of this formula in the dataset   0.0 meV per atom
ΔE_f (raw)   -127 meV/atom
DFT total energy   -0.11652 hartree per atom

Cell lengths 5.427, 8.070, 8.847 Å; angles 90.00, 90.00, 90.00 degrees
Element x y z (fractional)
Sb (0.668, 0.667, 0.201)
Sb (0.167, 0.686, 0.701)
Br (0.044, 0.912, 0.201)
Br (0.544, 0.441, 0.701)
Te (0.289, 0.380, 0.201)
Te (0.939, 0.454, 0.427)
Te (0.789, 0.972, 0.701)
Te (0.439, 0.899, 0.927)
Te (0.939, 0.454, 0.974)
Te (0.439, 0.899, 0.474)

=====

Entry 12:
Density functional theory data (PBE) for crystalline Sb2TeBr at its relaxed geometry.

Excess energy over the best structure of this formula in the dataset   211.6 meV per atom
ΔE_f (raw)   116 meV/atom
DFT total energy   -0.11573 hartree per atom

Cell lengths 8.391, 8.391, 6.908 Å; angles 52.61, 52.61, 90.00 degrees
Element x y z (fractional)
Br (0.250, 0.750, 0.500)
Br (0.500, 0.500, 0.000)
Te (0.000, 0.000, 0.000)
Te (0.750, 0.250, 0.500)
Sb (0.375, 0.365, 0.750)
Sb (0.635, 0.125, 0.250)
Sb (0.875, 0.885, 0.750)
Sb (0.115, 0.625, 0.250)

=====

Entry 13:
Density functional theory data (PBE) for crystalline TiSbTe2Br at its relaxed geometry.

Excess energy over the best structure of this formula in the dataset   0.0 meV per atom
ΔE_f (raw)   -86 meV/atom
DFT total energy   -0.14998 hartree per atom

Cell lengths 5.234, 5.234, 5.447 Å; angles 90.00, 90.00, 90.00 degrees
Element x y z (fractional)
Te (0.500, 0.000, 0.000)
Te (0.000, 0.500, 0.000)
Ti (0.000, 0.000, 0.000)
Br (0.500, 0.500, 0.500)
Sb (0.000, 0.000, 0.500)

=====

Entry 14:
Density functional theory data (PBE) for crystalline TiSbTe2Br at its relaxed geometry.

Excess energy over the best structure of this formula in the dataset   1161.1 meV per atom
ΔE_f (raw)   1075 meV/atom
DFT total energy   -0.10731 hartree per atom

Cell lengths 5.542, 5.542, 5.386 Å; angles 90.00, 90.00, 90.00 degrees
Site moments in Bohr magnetons follow the coordinates.
Element x y z (fractional)
Sb (0.000, 0.000, 0.500)  -0.02
Ti (0.500, 0.500, 0.500)  0.23
Br (0.000, 0.000, 0.000)  -0.04
Te (0.500, 0.000, 0.000)  -0.10
Te (0.000, 0.500, 0.000)  -0.10

=====

Entry 15:
Density functional theory data (PBE) for crystalline TiSb2TeBr at its relaxed geometry.

Excess energy over the best structure of this formula in the dataset   1085.0 meV per atom
ΔE_f (raw)   1038 meV/atom
DFT total energy   -0.11586 hartree per atom

Cell lengths 5.397, 5.397, 5.634 Å; angles 90.00, 90.00, 90.00 degrees
Site moments in Bohr magnetons follow the coordinates.
Element x y z (fractional)
Sb (0.000, 0.500, 0.000)  -0.06
Sb (0.500, 0.000, 0.000)  -0.06
Ti (0.500, 0.500, 0.500)  1.72
Br (0.000, 0.000, 0.000)  -0.02
Te (0.000, 0.000, 0.500)  -0.08

=====

Entry 16:
Density functional theory data (PBE) for crystalline TiSb2TeBr at its relaxed geometry.

Excess energy over the best structure of this formula in the dataset   0.0 meV per atom
ΔE_f (raw)   -47 meV/atom
DFT total energy   -0.15574 hartree per atom

Cell lengths 5.324, 5.324, 5.195 Å; angles 90.00, 90.00, 90.00 degrees
Element x y z (fractional)
Sb (0.000, 0.500, 0.000)
Sb (0.500, 0.000, 0.000)
Te (0.000, 0.000, 0.500)
Ti (0.000, 0.000, 0.000)
Br (0.500, 0.500, 0.500)

=====

Entry 17:
Density functional theory data (PBE) for crystalline VSbTe2Br at its relaxed geometry.

Excess energy over the best structure of this formula in the dataset   0.0 meV per atom
ΔE_f (raw)   84 meV/atom
DFT total energy   -0.15271 hartree per atom

Cell lengths 5.109, 5.109, 5.314 Å; angles 90.00, 90.00, 90.00 degrees
Element x y z (fractional)
V (0.000, 0.000, 0.000)
Sb (0.000, 0.000, 0.500)
Te (0.000, 0.500, 0.000)
Te (0.500, 0.000, 0.000)
Br (0.500, 0.500, 0.500)

=====

Entry 18:
Density functional theory data (PBE) for crystalline VSbTe2Br at its relaxed geometry.

Excess energy over the best structure of this formula in the dataset   1097.9 meV per atom
ΔE_f (raw)   1182 meV/atom
DFT total energy   -0.11236 hartree per atom

Cell lengths 5.592, 5.592, 5.420 Å; angles 90.00, 90.00, 90.00 degrees
Site moments in Bohr magnetons follow the coordinates.
Element x y z (fractional)
V (0.500, 0.500, 0.500)  3.01
Br (0.000, 0.000, 0.000)  -0.11
Sb (0.000, 0.000, 0.500)  -0.29
Te (0.500, 0.000, 0.000)  -0.31
Te (0.000, 0.500, 0.000)  -0.31

=====

Entry 19:
Density functional theory data (PBE) for crystalline SbTe2WBr at its relaxed geometry.

Excess energy over the best structure of this formula in the dataset   0.0 meV per atom
ΔE_f (raw)   381 meV/atom
DFT total energy   -0.16998 hartree per atom

Cell lengths 5.238, 5.238, 5.415 Å; angles 90.00, 90.00, 90.00 degrees
Element x y z (fractional)
Sb (0.000, 0.000, 0.500)
Br (0.500, 0.500, 0.500)
Te (0.000, 0.500, 0.000)
Te (0.500, 0.000, 0.000)
W (0.000, 0.000, 0.000)

=====

Entry 20:
Density functional theory data (PBE) for crystalline SbTe2WBr at its relaxed geometry.

Excess energy over the best structure of this formula in the dataset   1464.3 meV per atom
ΔE_f (raw)   1845 meV/atom
DFT total energy   -0.11616 hartree per atom

Cell lengths 5.526, 5.526, 5.361 Å; angles 90.00, 90.00, 90.00 degrees
Site moments in Bohr magnetons follow the coordinates.
Element x y z (fractional)
Sb (0.000, 0.000, 0.500)  -0.26
Te (0.500, 0.000, 0.000)  -0.28
Te (0.000, 0.500, 0.000)  -0.28
W (0.500, 0.500, 0.500)  3.07
Br (0.000, 0.000, 0.000)  -0.10

=====

Entry 21:
Density functional theory data (PBE) for crystalline ZnSbTe2Br at its relaxed geometry.

Excess energy over the best structure of this formula in the dataset   550.3 meV per atom
ΔE_f (raw)   936 meV/atom
DFT total energy   -0.06373 hartree per atom

Cell lengths 5.694, 5.694, 5.610 Å; angles 90.00, 90.00, 90.00 degrees
Site moments in Bohr magnetons follow the coordinates.
Element x y z (fractional)
Br (0.000, 0.000, 0.000)  0.10
Zn (0.500, 0.500, 0.500)  0.00
Te (0.500, 0.000, 0.000)  0.18
Te (0.000, 0.500, 0.000)  0.18
Sb (0.000, 0.000, 0.500)  0.30

=====

Entry 22:
Density functional theory data (PBE) for crystalline ZnSbTe2Br at its relaxed geometry.

Excess energy over the best structure of this formula in the dataset   0.0 meV per atom
ΔE_f (raw)   386 meV/atom
DFT total energy   -0.08395 hartree per atom

Cell lengths 5.254, 5.254, 5.488 Å; angles 90.00, 90.00, 90.00 degrees
Element x y z (fractional)
Te (0.500, 0.000, 0.000)
Te (0.000, 0.500, 0.000)
Sb (0.000, 0.000, 0.500)
Br (0.500, 0.500, 0.500)
Zn (0.000, 0.000, 0.000)

=====

Entry 23:
Density functional theory data (PBE) for crystalline ZrSbTe2Br at its relaxed geometry.

Excess energy over the best structure of this formula in the dataset   0.0 meV per atom
ΔE_f (raw)   -65 meV/atom
DFT total energy   -0.15400 hartree per atom

Cell lengths 5.503, 5.503, 5.736 Å; angles 90.00, 90.00, 90.00 degrees
Element x y z (fractional)
Zr (0.000, 0.000, 0.000)
Br (0.500, 0.500, 0.500)
Sb (0.000, 0.000, 0.500)
Te (0.000, 0.500, 0.000)
Te (0.500, 0.000, 0.000)

=====

Entry 24:
Density functional theory data (PBE) for crystalline ZrSb2TeBr at its relaxed geometry.

Excess energy over the best structure of this formula in the dataset   873.8 meV per atom
ΔE_f (raw)   895 meV/atom
DFT total energy   -0.12590 hartree per atom

Cell lengths 5.324, 5.324, 5.551 Å; angles 90.00, 90.00, 90.00 degrees
Site moments in Bohr magnetons follow the coordinates.
Element x y z (fractional)
Zr (0.500, 0.500, 0.500)  0.26
Sb (0.500, 0.000, 0.000)  -0.03
Sb (0.000, 0.500, 0.000)  -0.03
Te (0.000, 0.000, 0.500)  -0.02
Br (0.000, 0.000, 0.000)  -0.01

=====

Entry 25:
Density functional theory data (PBE) for crystalline ZrSb2TeBr at its relaxed geometry.

Excess energy over the best structure of this formula in the dataset   0.0 meV per atom
ΔE_f (raw)   22 meV/atom
DFT total energy   -0.15802 hartree per atom

Cell lengths 5.607, 5.607, 5.470 Å; angles 90.00, 90.00, 90.00 degrees
Element x y z (fractional)
Te (0.000, 0.000, 0.500)
Br (0.500, 0.500, 0.500)
Zr (0.000, 0.000, 0.000)
Sb (0.000, 0.500, 0.000)
Sb (0.500, 0.000, 0.000)

=====

Entry 26:
Density functional theory data (PBE) for crystalline ZrSbTe2Br at its relaxed geometry.

Excess energy over the best structure of this formula in the dataset   954.3 meV per atom
ΔE_f (raw)   889 meV/atom
DFT total energy   -0.11892 hartree per atom

Cell lengths 5.488, 5.488, 5.330 Å; angles 90.00, 90.00, 90.00 degrees
Element x y z (fractional)
Sb (0.000, 0.000, 0.500)
Zr (0.500, 0.500, 0.500)
Te (0.000, 0.500, 0.000)
Te (0.500, 0.000, 0.000)
Br (0.000, 0.000, 0.000)

=====

Entry 27:
Density functional theory data (PBE) for crystalline Th2SbBr at its relaxed geometry.

ΔE_f (raw)   -812 meV/atom
DFT total energy   -0.21944 hartree per atom

Cell lengths 5.382, 5.382, 5.382 Å; angles 60.00, 60.00, 60.00 degrees
Element x y z (fractional)
Th (0.250, 0.250, 0.250)
Th (0.750, 0.750, 0.750)
Sb (0.000, 0.000, 0.000)
Br (0.500, 0.500, 0.500)

=====

Entry 28:
Density functional theory data (PBE) for crystalline Th2SbBr2 at its relaxed geometry.

ΔE_f (raw)   -1165 meV/atom
DFT total energy   -0.20678 hartree per atom

Cell lengths 4.305, 4.305, 11.496 Å; angles 79.21, 79.21, 60.00 degrees
Element x y z (fractional)
Th (0.386, 0.386, 0.841)
Th (0.614, 0.614, 0.159)
Br (0.224, 0.224, 0.329)
Br (0.776, 0.776, 0.671)
Sb (0.000, 0.000, 0.000)

=====

Entry 29:
Density functional theory data (PBE) for crystalline TiSb2Br at its relaxed geometry.

Excess energy over the best structure of this formula in the dataset   94.2 meV per atom
ΔE_f (raw)   330 meV/atom
DFT total energy   -0.15151 hartree per atom

Cell lengths 5.143, 5.143, 5.143 Å; angles 60.00, 60.00, 60.00 degrees
Site moments in Bohr magnetons follow the coordinates.
Element x y z (fractional)
Sb (0.750, 0.750, 0.750)  0.03
Sb (0.250, 0.250, 0.250)  0.03
Ti (0.000, 0.000, 0.000)  0.67
Br (0.500, 0.500, 0.500)  0.04

=====

We obtain volume values of 123.03 139.94 117.89 122.84 140.77 144.73 170.76 122.36 430.69 168.21 387.47 249.14 149.21 165.44 164.11 147.26 138.71 169.51 148.57 163.69 181.90 151.48 173.69 157.31 171.94 160.55 110.22 180.14 96.18 Å³ per cell for the records listed above, in that order.